Density functional theory data (PBE) for crystalline KOs2PbO8 at its relaxed geometry.

Cell: 6.1864 6.1864 7.7559 Å, 90.00 90.00 120.00°
Space group P-3m1 (No. 164)
Unique sites:
K 0.0000 0.0000 0.0000 [1 per cell]
Os 0.3333 0.6667 0.3254 [2 per cell]
Pb 0.0000 0.0000 0.5000 [1 per cell]
O 0.1721 0.3442 0.2639 [6 per cell]
O 0.3333 0.6667 0.5542 [2 per cell]

Computed properties:
Raw total energy in eV/atom: -6.654
Energy relative to the elements, uncorrected in eV per atom: -1.0764

***

Density functional theory data (PBE) for crystalline K2OsPbO6 at its relaxed geometry.

Cell: 6.1772 6.1772 14.7814 Å, 90.00 90.00 120.00°
Space group R-3 (No. 148, hexagonal axes)
Unique sites:
K 0.0000 0.0000 0.2470 [6 per cell]
Os 0.0000 0.0000 0.0000 [3 per cell]
Pb 0.0000 0.0000 0.5000 [3 per cell]
O 0.0540 0.5841 0.7400 [18 per cell]

Computed properties:
Raw total energy in eV/atom: -5.940
Energy relative to the elements, uncorrected in eV per atom: -1.2522